Entry 1:
Material: MgSc2In4
Method: DFT, PBE
State: relaxed

Output
ΔH_f (0 K) ... -254 meV/atom
Total magnetization ... 0.000 μB per formula unit

Cell and atoms, written as POSCAR:
```
MgSc2In4
1.0
-3.372 3.372 3.773
3.372 -3.372 3.773
3.372 3.372 -3.773
Mg Sc In
1 2 4
Cartesian
0.000 0.000 0.000
3.372 0.000 0.000
0.000 3.372 0.000
1.686 1.686 -1.887
1.686 -1.686 1.887
-1.686 1.686 1.887
1.686 1.686 1.887
```

Entry 2:
Material: PmGa4Ni
Method: DFT, PBE
State: relaxed

Output
Energy relative to the lowest polymorph listed for this composition ... 300 meV per atom
ΔH_f (0 K) ... -254 meV/atom
Total magnetization ... 0.000 μB per formula unit

Cell and atoms, written as POSCAR:
```
PmGa4Ni
1.0
4.045 0.000 0.000
0.000 4.045 0.000
0.000 0.000 7.640
Pm Ga Ni
1 4 1
Cartesian
0.000 0.000 0.000
0.000 2.022 2.417
0.000 2.022 5.223
2.022 0.000 2.417
2.022 0.000 5.223
2.022 2.022 3.820
```

Entry 3:
Material: AsSeSI2
Method: DFT, PBE
State: relaxed

Output
Total magnetization ... 2.022 μB per formula unit

Cell and atoms, written as POSCAR:
```
AsSeSI2
1.0
5.766 0.000 0.000
0.000 5.766 0.000
0.000 0.000 4.825
As Se S I
1 1 1 2
Cartesian
0.000 0.000 0.000
2.883 2.883 2.413
2.883 2.883 0.000
0.000 2.883 2.413
2.883 0.000 2.413
```

Entry 4:
Material: AlTc2P
Method: DFT, PBE
State: relaxed

Output
Energy relative to the lowest polymorph listed for this composition ... 0 meV per atom
ΔH_f (0 K) ... -386 meV/atom
Total magnetization ... 0.000 μB per formula unit

Cell and atoms, written as POSCAR:
```
AlTc2P
1.0
2.967 0.000 0.000
0.000 2.967 0.000
0.000 0.000 6.140
Al Tc P
1 2 1
Cartesian
0.000 0.000 0.000
1.484 1.484 1.679
1.484 1.484 4.461
0.000 0.000 3.070
```

Entry 5:
Material: KLiCd2Rh
Method: DFT, PBE
State: relaxed

Output
ΔH_f (0 K) ... -49 meV/atom
Total magnetization ... 0.000 μB per formula unit

Cell and atoms, written as POSCAR:
```
KLiCd2Rh
1.0
5.273 0.000 0.000
0.000 5.273 0.000
0.000 0.000 4.893
K Li Cd Rh
1 1 2 1
Cartesian
0.000 0.000 0.000
2.636 2.636 0.000
0.000 2.636 2.447
2.636 0.000 2.447
2.636 2.636 2.447
```

Entry 6:
Material: GaSn3Au
Method: DFT, PBE
State: relaxed

Output
Energy relative to the lowest polymorph listed for this composition ... 567 meV per atom
ΔH_f (0 K) ... 514 meV/atom
Total magnetization ... 0.000 μB per formula unit

Cell and atoms, written as POSCAR:
```
GaSn3Au
1.0
5.281 0.000 0.000
0.000 5.281 0.000
0.000 0.000 5.281
Ga Sn Au
1 3 1
Cartesian
0.000 0.000 0.000
0.000 0.000 2.641
0.000 2.641 0.000
2.641 0.000 0.000
2.641 2.641 2.641
```

Entry 7:
Material: TaTlIn3
Method: DFT, PBE
State: relaxed

Output
Energy relative to the lowest polymorph listed for this composition ... 981 meV per atom
ΔH_f (0 K) ... 1505 meV/atom
Total magnetization ... 3.205 μB per formula unit

Cell and atoms, written as POSCAR:
```
TaTlIn3
1.0
5.538 0.000 0.000
0.000 5.538 0.000
0.000 0.000 5.538
Ta Tl In
1 1 3
Cartesian
0.000 0.000 0.000
2.769 2.769 2.769
0.000 2.769 2.769
2.769 0.000 2.769
2.769 2.769 0.000
```

Entry 8:
Material: CrPPb
Method: DFT, PBE
State: relaxed

Output
Energy relative to the lowest polymorph listed for this composition ... 63 meV per atom
ΔH_f (0 K) ... 159 meV/atom
Total magnetization ... 3.227 μB per formula unit

Cell and atoms, written as POSCAR:
```
CrPPb
1.0
4.038 0.000 0.000
-2.019 3.497 0.000
0.000 0.000 4.634
Cr P Pb
1 1 1
Cartesian
0.000 0.000 0.000
2.019 1.166 0.000
0.000 2.331 2.317
```

Number 1: final energy -3.86 eV per atom. Number 2: final energy -4.03 eV per atom. Number 3: final energy -2.28 eV per atom. Number 4: final energy -7.86 eV per atom. Number 5: final energy -2.49 eV per atom. Number 6: final energy -3.15 eV per atom. Number 7: final energy -2.98 eV per atom. Number 8: final energy -6.09 eV per atom.